Entry 1:
Below is a relaxed PaHgC crystal, with properties calculated at the GGA-PBE level.

a b c (Å): 6.3788 6.3788 6.3788
angles (deg): 150.29 150.29 42.52
Sites, in units of the cell vectors:
Pa  0.0000  0.0000  0.0000
Hg  0.2768  0.2768  0.0000
C  0.5434  0.5434  0.0000

**DFT formation energy**: 0.45 eV per formula unit
**Space group**: I4mm

---

Entry 2:
Below is a relaxed ThIn2Hg4 crystal, with properties calculated at the GGA-PBE level.

a b c (Å): 8.8785 8.8785 8.8785
angles (deg): 33.11 33.11 33.11
Sites, in units of the cell vectors:
Th  0.0000  0.0000  0.0000
In  0.2530  0.2530  0.2530
In  0.7470  0.7470  0.7470
Hg  0.1362  0.1362  0.1362
Hg  0.3901  0.3901  0.3901
Hg  0.6099  0.6099  0.6099
Hg  0.8638  0.8638  0.8638

**DFT formation energy**: -1.05 eV per formula unit
**Space group**: R-3m

---

Entry 3:
Below is a relaxed Ho2UOsC4 crystal, with properties calculated at the GGA-PBE level.

a b c (Å): 6.0886 6.0886 11.9233
angles (deg): 90.00 90.00 147.15
Sites, in units of the cell vectors:
Ho  0.1320  0.8680  0.5416
Ho  0.1320  0.8680  0.9584
Ho  0.8680  0.1320  0.0416
Ho  0.8680  0.1320  0.4584
U  0.3970  0.6030  0.7500
U  0.6030  0.3970  0.2500
Os  0.3462  0.6538  0.2500
Os  0.6538  0.3462  0.7500
C  0.0584  0.9416  0.7500
C  0.2269  0.7731  0.1376
C  0.2269  0.7731  0.3624
C  0.5000  0.5000  0.0000
C  0.5000  0.5000  0.5000
C  0.7731  0.2269  0.6376
C  0.7731  0.2269  0.8624
C  0.9416  0.0584  0.2500

**DFT formation energy**: 0.51 eV per formula unit
**Space group**: Cmcm

---

Entry 4:
Below is a relaxed CeZrGe2O8 crystal, with properties calculated at the GGA-PBE level.

a b c (Å): 5.8849 5.8849 5.8849
angles (deg): 107.37 107.37 113.75
Sites, in units of the cell vectors:
Ce  0.0000  0.0000  0.0000
Zr  0.7500  0.2500  0.5000
Ge  0.2500  0.7500  0.5000
Ge  0.5000  0.5000  0.0000
O  0.0559  0.3767  0.3208
O  0.0559  0.7352  0.6792
O  0.1268  0.3190  0.8078
O  0.2648  0.9441  0.3208
O  0.5112  0.3190  0.1922
O  0.6233  0.9441  0.6792
O  0.6810  0.4888  0.8078
O  0.6810  0.8732  0.1922

**E_form (uncorrected)**: -2.491 eV/atom
**Space group**: I-4m2

---

Entry 5:
Below is a relaxed NdSm5Tl crystal, with properties calculated at the GGA-PBE level.

a b c (Å): 5.8075 5.8075 7.1778
angles (deg): 90.00 90.00 90.00
Sites, in units of the cell vectors:
Nd  0.0000  0.0000  0.0000
Sm  0.0000  0.5000  0.2454
Sm  0.0000  0.5000  0.7546
Sm  0.5000  0.0000  0.2454
Sm  0.5000  0.0000  0.7546
Sm  0.5000  0.5000  0.5000
Tl  0.0000  0.0000  0.5000

**DFT formation energy**: 1.96 eV per formula unit
**Space group**: P4/mmm

---

Entry 6:
Below is a relaxed CaIn crystal, with properties calculated at the GGA-PBE level.

a b c (Å): 9.3906 9.3906 5.1251
angles (deg): 90.00 90.00 120.00
Sites, in units of the cell vectors:
Ca  0.1749  0.3498  0.2500
Ca  0.1749  0.8251  0.2500
Ca  0.3498  0.1749  0.7500
Ca  0.6502  0.8251  0.2500
Ca  0.8251  0.1749  0.7500
Ca  0.8251  0.6502  0.7500
In  0.1199  0.5599  0.7500
In  0.4400  0.5599  0.7500
In  0.4400  0.8801  0.7500
In  0.5599  0.1199  0.2500
In  0.5599  0.4400  0.2500
In  0.8801  0.4400  0.2500

**DFT formation energy**: -0.54 eV per formula unit
**Space group**: P6_3/mmc

---

Entry 7:
Below is a relaxed Zr2CuRe crystal, with properties calculated at the GGA-PBE level.

a b c (Å): 3.4101 3.4101 6.1355
angles (deg): 90.00 90.00 90.00
Sites, in units of the cell vectors:
Zr  0.0000  0.0000  0.0000
Zr  0.5000  0.5000  0.3118
Cu  0.0000  0.0000  0.5440
Re  0.5000  0.5000  0.7676

**DFT formation energy**: 0.35 eV per formula unit
**Space group**: P4mm

---

Entry 8:
Below is a relaxed BeAl2Cu crystal, with properties calculated at the GGA-PBE level.

a b c (Å): 5.4656 5.4656 5.4656
angles (deg): 102.70 102.70 124.08
Sites, in units of the cell vectors:
Be  0.0000  0.0000  0.0000
Be  0.7500  0.2500  0.5000
Al  0.1160  0.6250  0.9910
Al  0.3750  0.3660  0.4910
Al  0.6340  0.1250  0.0090
Al  0.8750  0.8840  0.5090
Cu  0.2500  0.7500  0.5000
Cu  0.5000  0.5000  0.0000

**DFT formation energy**: 1.74 eV per formula unit
**Space group**: I-42d

---

Entry 9:
Below is a relaxed TlPbClF2 crystal, with properties calculated at the GGA-PBE level.

a b c (Å): 4.7987 4.7987 5.9374
angles (deg): 90.00 90.00 90.00
Sites, in units of the cell vectors:
Tl  0.0000  0.0000  0.0000
Pb  0.5000  0.5000  0.5000
Cl  0.5000  0.5000  0.0000
F  0.0000  0.5000  0.5000
F  0.5000  0.0000  0.5000

**E_form (uncorrected)**: -1.732 eV/atom
**Space group**: P4/mmm

---

Entry 10:
Below is a relaxed NdMnFeC2 crystal, with properties calculated at the GGA-PBE level.

a b c (Å): 5.6305 5.6305 5.6305
angles (deg): 143.81 143.81 52.11
Sites, in units of the cell vectors:
Nd  0.0000  0.0000  0.0000
Mn  0.2500  0.7500  0.5000
Fe  0.7500  0.2500  0.5000
C  0.3336  0.3336  0.0000
C  0.6664  0.6664  0.0000

**DFT formation energy**: -0.88 eV per formula unit
**Space group**: I-4m2

---

Entry 11:
Below is a relaxed Na2ZrRe crystal, with properties calculated at the GGA-PBE level.

a b c (Å): 4.8491 4.8491 4.8491
angles (deg): 60.00 60.00 60.00
Sites, in units of the cell vectors:
Na  0.2500  0.2500  0.2500
Na  0.7500  0.7500  0.7500
Zr  0.0000  0.0000  0.0000
Re  0.5000  0.5000  0.5000

**DFT formation energy**: 5.61 eV per formula unit
**Space group**: Fm-3m

---

Entry 12:
Below is a relaxed Nd3Sm4Ho2 crystal, with properties calculated at the GGA-PBE level.

a b c (Å): 3.6289 3.6289 26.9327
angles (deg): 90.00 90.00 120.00
Sites, in units of the cell vectors:
Nd  0.0000  0.0000  0.0000
Nd  0.0000  0.0000  0.3382
Nd  0.6667  0.3333  0.6722
Sm  0.0000  0.0000  0.5603
Sm  0.0000  0.0000  0.7844
Sm  0.6667  0.3333  0.2308
Sm  0.6667  0.3333  0.4522
Ho  0.6667  0.3333  0.1053
Ho  0.6667  0.3333  0.8896

**DFT formation energy**: 0.62 eV per formula unit
**Space group**: P3m1

---

Entry 13:
Below is a relaxed LaSc2GeN4 crystal, with properties calculated at the GGA-PBE level.

a b c (Å): 5.8609 5.8609 11.1376
angles (deg): 90.00 90.00 146.57
Sites, in units of the cell vectors:
La  0.0963  0.9037  0.7500
La  0.9037  0.0963  0.2500
Sc  0.3701  0.6299  0.5387
Sc  0.3701  0.6299  0.9613
Sc  0.6299  0.3701  0.0387
Sc  0.6299  0.3701  0.4613
Ge  0.1660  0.8340  0.2500
Ge  0.8340  0.1660  0.7500
N  0.0000  0.0000  0.0000
N  0.0000  0.0000  0.5000
N  0.2650  0.7350  0.1175
N  0.2650  0.7350  0.3825
N  0.4184  0.5816  0.7500
N  0.5816  0.4184  0.2500
N  0.7350  0.2650  0.6175
N  0.7350  0.2650  0.8825

**E_form (uncorrected)**: -1.155 eV/atom
**Space group**: Cmcm

---

Entry 14:
Below is a relaxed LiTe2NO crystal, with properties calculated at the GGA-PBE level.

a b c (Å): 4.6612 4.6612 4.0165
angles (deg): 90.00 90.00 90.00
Sites, in units of the cell vectors:
Li  0.0000  0.0000  0.0000
Te  0.0000  0.5000  0.5000
Te  0.5000  0.0000  0.5000
N  0.5000  0.5000  0.0000
O  0.5000  0.5000  0.5000

**E_form (uncorrected)**: 0.776 eV/atom
**Space group**: P4/mmm

---

Entry 15:
Below is a relaxed PrBe2IrO8 crystal, with properties calculated at the GGA-PBE level.

a b c (Å): 5.1231 5.1231 6.5387
angles (deg): 90.00 90.00 120.00
Sites, in units of the cell vectors:
Pr  0.0000  0.0000  0.0000
Be  0.3333  0.6667  0.2400
Be  0.6667  0.3333  0.7600
Ir  0.0000  0.0000  0.5000
O  0.1654  0.3309  0.3210
O  0.1654  0.8346  0.3210
O  0.3309  0.1654  0.6790
O  0.3333  0.6667  0.9941
O  0.6667  0.3333  0.0059
O  0.6691  0.8346  0.3210
O  0.8346  0.1654  0.6790
O  0.8346  0.6691  0.6790

**E_form (uncorrected)**: -1.462 eV/atom
**Space group**: P-3m1

---

Entry 16:
Below is a relaxed AcNd2YHo crystal, with properties calculated at the GGA-PBE level.

a b c (Å): 7.4373 7.4373 7.3681
angles (deg): 90.00 90.00 110.26
Sites, in units of the cell vectors:
Ac  0.2444  0.7556  0.7500
Ac  0.7556  0.2444  0.2500
Nd  0.3063  0.3063  0.0000
Nd  0.3063  0.3063  0.5000
Nd  0.6937  0.6937  0.0000
Nd  0.6937  0.6937  0.5000
Y  0.0456  0.9544  0.2500
Y  0.9544  0.0456  0.7500
Ho  0.3030  0.6970  0.2500
Ho  0.6970  0.3030  0.7500

**DFT formation energy**: 1.79 eV per formula unit
**Space group**: Cmcm

---

Entry 17:
Below is a relaxed Ba8P3H3N crystal, with properties calculated at the GGA-PBE level.

a b c (Å): 8.8155 8.8155 8.8155
angles (deg): 61.26 61.26 61.26
Sites, in units of the cell vectors:
Ba  0.2487  0.2487  0.2487
Ba  0.2712  0.2712  0.7294
Ba  0.2712  0.7294  0.2712
Ba  0.2706  0.7288  0.7288
Ba  0.7294  0.2712  0.2712
Ba  0.7288  0.2706  0.7288
Ba  0.7288  0.7288  0.2706
Ba  0.7513  0.7513  0.7513
P  0.0000  0.0000  0.5000
P  0.0000  0.5000  0.0000
P  0.5000  0.0000  0.0000
H  0.0000  0.5000  0.5000
H  0.5000  0.0000  0.5000
H  0.5000  0.5000  0.0000
N  0.5000  0.5000  0.5000

**Raw total energy**: -4.01 eV/atom
**Space group**: R-3m

---

Entry 18:
Below is a relaxed TbNpRu2 crystal, with properties calculated at the GGA-PBE level.

a b c (Å): 4.6305 4.6305 4.6466
angles (deg): 112.32 112.32 67.56
Sites, in units of the cell vectors:
Tb  0.0000  0.0000  0.0000
Np  0.5000  0.5000  0.5000
Ru  0.2822  0.2822  0.7149
Ru  0.7178  0.7178  0.2851

**DFT formation energy**: -0.34 eV per formula unit
**Space group**: C2/m

---

Entry 19:
Below is a relaxed CePmAlIn crystal, with properties calculated at the GGA-PBE level.

a b c (Å): 3.4081 3.4081 8.9808
angles (deg): 90.00 90.00 90.00
Sites, in units of the cell vectors:
Ce  0.0000  0.0000  0.0000
Pm  0.0000  0.0000  0.4691
Al  0.5000  0.5000  0.2343
In  0.5000  0.5000  0.7357

**DFT formation energy**: -1.47 eV per formula unit
**Space group**: P4mm

---

Entry 20:
Below is a relaxed Na2HSeO4 crystal, with properties calculated at the GGA-PBE level.

a b c (Å): 10.0525 8.7146 5.9296
angles (deg): 84.42 59.63 35.95
Sites, in units of the cell vectors:
Na  0.0482  0.0482  0.7018
Na  0.2982  0.2982  0.9518
Na  0.7018  0.7018  0.0482
Na  0.9518  0.9518  0.2982
H  0.1250  0.1250  0.1250
H  0.8750  0.8750  0.8750
Se  0.3750  0.3750  0.3750
Se  0.6250  0.6250  0.6250
O  0.0411  0.3062  0.3967
O  0.2440  0.6033  0.6938
O  0.3062  0.0411  0.7560
O  0.3967  0.7560  0.0411
O  0.6033  0.2440  0.9589
O  0.6938  0.9589  0.2440
O  0.7560  0.3967  0.3062
O  0.9589  0.6938  0.6033

**Raw total energy**: -4.38 eV/atom
**Space group**: Fddd